(1)
RbHRh3: relaxed, PBE.

symmetry	Pm-3m (221)
magnetization	0.7185	μB per atom
energy above the most stable polymorph in this dataset	2064.5	meV/atom

abc: 4.996 4.996 4.996
angles: 90.00 90.00 90.00
Last column: magnetic moment on the atom in μB.
Sites, in units of the cell vectors:
1 Rh 0.000 0.000 0.500  0.87
2 Rh 0.000 0.500 0.000  1.12
3 Rh 0.500 0.000 0.000  1.10
4 H 0.500 0.500 0.500  0.22
5 Rb 0.000 0.000 0.000  0.02


(2)
La3BrN: relaxed, PBE.

symmetry	Pm-3m (221)
uncorrected formation energy	-0.72	eV/atom
magnetization	0.0000	μB per atom
energy above the most stable polymorph in this dataset	0.0	meV/atom

abc: 5.092 5.092 5.092
angles: 90.00 90.00 90.00
Sites, in units of the cell vectors:
1 La 0.000 0.000 0.500
2 La 0.000 0.500 0.000
3 La 0.500 0.000 0.000
4 N 0.000 0.000 0.000
5 Br 0.500 0.500 0.500


(3)
Pm7BiBr12: relaxed, PBE.

symmetry	R-3 (148)
uncorrected formation energy	-1.56	eV/atom
magnetization	0.0000	μB per atom

abc: 9.541 9.541 9.541
angles: 108.43 108.43 108.43
Sites, in units of the cell vectors:
1 Pm 0.348 0.123 0.047
2 Pm 0.123 0.047 0.348
3 Pm 0.047 0.348 0.123
4 Pm 0.953 0.652 0.877
5 Pm 0.877 0.953 0.652
6 Pm 0.500 0.500 0.500
7 Pm 0.652 0.877 0.953
8 Br 0.077 0.694 0.227
9 Br 0.227 0.077 0.694
10 Br 0.477 0.162 0.395
11 Br 0.162 0.395 0.477
12 Br 0.306 0.773 0.923
13 Br 0.838 0.605 0.523
14 Br 0.773 0.923 0.306
15 Br 0.694 0.227 0.077
16 Br 0.605 0.523 0.838
17 Br 0.523 0.838 0.605
18 Br 0.923 0.306 0.773
19 Br 0.395 0.477 0.162
20 Bi 0.000 0.000 0.000


(4)
Ti2NbHgC: relaxed, PBE.

symmetry	P4/mmm (123)
magnetization	0.0005	μB per atom
calculated formation energy	-0.36	eV per atom

abc: 4.251 4.251 4.326
angles: 90.00 90.00 90.00
Sites, in units of the cell vectors:
1 Hg 0.500 0.500 0.500
2 Nb 0.000 0.000 0.500
3 Ti 0.500 0.000 0.000
4 Ti 0.000 0.500 0.000
5 C 0.000 0.000 0.000


(5)
Ca2WCl: relaxed, PBE.

symmetry	I-4m2 (119)
uncorrected formation energy	0.54	eV/atom
magnetization	0.8156	μB per atom
energy above the most stable polymorph in this dataset	691.9	meV/atom

abc: 6.859 6.859 6.859
angles: 144.16 144.16 51.59
Last column: magnetic moment on the atom in μB.
Sites, in units of the cell vectors:
1 W 0.750 0.250 0.500  2.36
2 Ca 0.000 0.000 0.000  -0.01
3 Ca 0.250 0.750 0.500  0.07
4 Cl 0.500 0.500 0.000  0.03


(6)
La4TbEr: relaxed, PBE.

symmetry	Cmmm (65)
magnetization	0.0010	μB per atom
calculated formation energy	0.09	eV per atom
energy above the most stable polymorph in this dataset	0.0	meV/atom

abc: 6.477 6.476 6.077
angles: 89.98 89.98 56.10
Sites, in units of the cell vectors:
1 La 0.656 0.656 0.000
2 La 0.156 0.156 0.499
3 La 0.344 0.344 0.000
4 La 0.844 0.844 0.501
5 Er 0.000 0.000 0.000
6 Tb 0.500 0.500 0.500


(7)
LaErRh: relaxed, PBE.

symmetry	P3m1 (156)
magnetization	0.0003	μB per atom
calculated formation energy	-0.53	eV per atom
energy above the most stable polymorph in this dataset	95.3	meV/atom

abc: 6.310 4.096 4.096
angles: 120.00 90.00 90.00
Sites, in units of the cell vectors:
1 Er 0.233 0.333 0.667
2 La 0.758 0.667 0.333
3 Rh 0.008 0.000 0.000


(8)
Sr4Sb5: relaxed, PBE.

symmetry	I4/mmm (139)
uncorrected formation energy	-0.64	eV/atom
magnetization	0.0253	μB per atom
energy above the most stable polymorph in this dataset	9.1	meV/atom

abc: 8.593 8.593 8.593
angles: 94.21 94.21 148.54
Sites, in units of the cell vectors:
1 Sr 0.282 0.000 0.282
2 Sr 0.000 0.718 0.718
3 Sr 0.718 0.000 0.718
4 Sr 0.000 0.282 0.282
5 Sb 0.688 0.312 0.000
6 Sb 0.312 0.688 0.000
7 Sb 0.000 0.000 0.000
8 Sb 0.312 0.312 0.623
9 Sb 0.688 0.688 0.377


(9)
AcLa2RuPb: relaxed, PBE.

symmetry	P4/mmm (123)
magnetization	0.0000	μB per atom
calculated formation energy	-0.39	eV per atom

abc: 5.733 5.458 5.458
angles: 90.00 90.00 90.00
Sites, in units of the cell vectors:
1 La 0.000 0.000 0.500
2 La 0.000 0.500 0.000
3 Ru 0.000 0.000 0.000
4 Ac 0.500 0.000 0.000
5 Pb 0.500 0.500 0.500


(10)
Ho2Tm3Pd4: relaxed, PBE.

symmetry	P2_1/c (14)
magnetization	0.0000	μB per atom
calculated formation energy	-0.84	eV per atom
energy above the most stable polymorph in this dataset	0.0	meV/atom

abc: 7.607 7.575 7.567
angles: 90.00 90.00 108.90
Sites, in units of the cell vectors:
1 Pd 0.631 0.505 0.633
2 Pd 0.859 0.088 0.536
3 Pd 0.369 0.495 0.367
4 Pd 0.869 0.495 0.133
5 Pd 0.141 0.912 0.464
6 Pd 0.359 0.088 0.964
7 Pd 0.641 0.912 0.036
8 Pd 0.131 0.505 0.867
9 Tm 0.249 0.241 0.665
10 Tm 0.251 0.759 0.165
11 Tm 0.000 0.500 0.500
12 Tm 0.751 0.759 0.335
13 Tm 0.749 0.241 0.835
14 Tm 0.500 0.500 0.000
15 Ho 0.420 0.806 0.679
16 Ho 0.920 0.806 0.821
17 Ho 0.080 0.194 0.179
18 Ho 0.580 0.194 0.321


(11)
Th3Co2Ni9: relaxed, PBE.

symmetry	Immm (71)
magnetization	0.2107	μB per atom
calculated formation energy	-0.29	eV per atom

abc: 4.060 7.656 7.656
angles: 71.00 74.63 74.63
Last column: magnetic moment on the atom in μB.
Sites, in units of the cell vectors:
1 Th 0.000 0.000 0.000  -0.06
2 Th 0.687 0.313 0.313  -0.08
3 Th 0.313 0.687 0.687  -0.08
4 Co 0.500 0.708 0.292  1.11
5 Co 0.500 0.292 0.708  1.11
6 Ni 0.114 0.158 0.615  0.13
7 Ni 0.886 0.385 0.842  0.13
8 Ni 0.677 0.679 0.967  0.14
9 Ni 0.886 0.842 0.385  0.13
10 Ni 0.677 0.967 0.679  0.14
11 Ni 0.114 0.615 0.158  0.13
12 Ni 0.000 0.500 0.500  0.17
13 Ni 0.323 0.321 0.033  0.14
14 Ni 0.323 0.033 0.321  0.14


(12)
Sr2YZr: relaxed, PBE.

symmetry	Fm-3m (225)
magnetization	0.2436	μB per atom
calculated formation energy	0.60	eV per atom
energy above the most stable polymorph in this dataset	345.8	meV/atom

abc: 5.900 5.900 5.900
angles: 60.00 60.00 60.00
Last column: magnetic moment on the atom in μB.
Sites, in units of the cell vectors:
1 Zr 0.500 0.500 0.500  0.40
2 Y 0.000 0.000 0.000  0.06
3 Sr 0.250 0.250 0.250  0.03
4 Sr 0.750 0.750 0.750  0.03